Record 1
DFT (GGA-PBE) results for La2YZrP4 after structural relaxation.

The structure belongs to space group P2/m (No. 10); the cell edges are 7.012, 4.044 and 7.067 Å and the angles 90.00°, 109.17° and 90.00°. The asymmetric unit holds La at (0.000, 0.000, 0.000), La at (0.500, 0.500, 0.000), Y at (0.000, 0.500, 0.500), Zr at (0.500, 0.000, 0.500), P at (0.253, 0.000, 0.729) and P at (0.267, 0.500, 0.275).

As for the crystal system: monoclinic. As for the total energy: -58.684 eV per cell.

=====

Record 2
DFT (GGA-PBE) results for Sm5Cd4Pb after structural relaxation.

The structure belongs to space group P4/mmm (No. 123); the cell edges are 3.808, 3.808 and 19.405 Å and the angles 90.00°, 90.00° and 90.00°. The asymmetric unit holds Sm at (0.000, 0.000, 0.000), Sm at (0.000, 0.000, 0.197), Sm at (0.000, 0.000, 0.394), Cd at (0.500, 0.500, 0.100), Cd at (0.500, 0.500, 0.293) and Pb at (0.500, 0.500, 0.500).

As for the crystal system: tetragonal. As for the total energy: -34.497 eV per cell.

=====

Record 3
DFT (GGA-PBE) results for Nd6DyAl2 after structural relaxation.

The structure belongs to space group C2/m (No. 12); the cell edges are 12.943, 3.792 and 12.041 Å and the angles 90.00°, 109.38° and 90.00°. The asymmetric unit holds Nd at (0.027, 0.000, 0.325), Nd at (0.185, 0.500, 0.877), Nd at (0.189, 0.500, 0.592), Dy at (0.000, 0.000, 0.000) and Al at (0.148, 0.500, 0.195).

As for the crystal system: monoclinic. As for the total energy: -83.883 eV per cell.